A geometry-optimized ZnCuP2 structure. Source: the Alexandria database, functional PBE.

Summary:
Calculated formation energy ... 0.371 eV per atom
Crystal system ... monoclinic
Total magnetization ... 0.0 μB per formula unit
V ... 57.1 Å³ per cell
Space group ... P2/m (10)

Unit cell a=2.6496 b=4.7751 c=5.4970 alpha=55.20 beta=90.00 gamma=90.00
Positions (direct):
Cu 0.0000 0.0000 0.5000
P 0.0000 0.0000 0.0000
P 0.5000 0.5000 0.0000
Zn 0.5000 0.5000 0.5000



A geometry-optimized BaLi2Pt structure. Source: the Alexandria database, functional PBE.

Summary:
Calculated formation energy ... -0.307 eV per atom
Energy above the lowest structure with this stoichiometry ... 0.136 eV per atom
Crystal system ... orthorhombic
Total magnetization ... 0.0 μB per formula unit
V ... 105.5 Å³ per cell
Space group ... Cmmm (65)

Unit cell a=4.8599 b=4.6754 c=4.6796 alpha=82.92 beta=90.00 gamma=90.00
Positions (direct):
Ba 0.5000 0.7500 0.7500
Li 0.0000 0.0805 0.0817
Li 0.0000 0.4195 0.4183
Pt 0.5000 0.2500 0.2500